(1)
## Re2PtAu (PBE-GGA)

Data for a geometry-optimized Re2PtAu structure.

Values from the calculation:
Polymorph energy (0 for the lowest one) in eV/f.u.: 2.577
Formation energy from the elements in eV/atom: 0.72
Space group: Fm-3m

Cell lengths 4.480, 4.480, 4.480 Å; angles 60.00, 60.00, 60.00 degrees
Fractional positions:
Pt (0.000, 0.000, 0.000)
Re (0.250, 0.250, 0.250)
Au (0.500, 0.500, 0.500)
Re (0.750, 0.750, 0.750)


(2)
## Sc3Si4 (PBE-GGA)

Data for a geometry-optimized Sc3Si4 structure.

Values from the calculation:
Formation energy from raw total energies in eV/atom: -0.71
Polymorph energy (0 for the lowest one) in eV/f.u.: 0.000
Space group: Cmcm

Cell lengths 3.743, 5.309, 13.048 Å; angles 90.00, 90.00, 110.64 degrees
Fractional positions:
Sc (0.683, 0.366, 0.401)
Si (0.001, 0.002, 0.000)
Si (0.395, 0.789, 0.106)
Si (0.756, 0.513, 0.750)
Sc (0.319, 0.639, 0.600)
Si (0.395, 0.790, 0.395)
Sc (0.683, 0.366, 0.100)
Si (0.246, 0.492, 0.250)
Si (0.608, 0.215, 0.606)
Sc (0.974, 0.947, 0.250)
Sc (0.319, 0.638, 0.901)
Si (0.607, 0.215, 0.895)
Si (0.001, 0.002, 0.500)
Sc (0.029, 0.057, 0.750)


(3)
## CeMgAlTl (PBE-GGA)

Data for a geometry-optimized CeMgAlTl structure.

Values from the calculation:
Formation energy from the elements in eV/atom: -0.17
Space group: F-43m

Cell lengths 5.152, 5.152, 5.152 Å; angles 60.00, 60.00, 60.00 degrees
Fractional positions:
Al (0.250, 0.250, 0.250)
Tl (0.750, 0.750, 0.750)
Ce (0.500, 0.500, 0.500)
Mg (0.000, 0.000, 0.000)


(4)
## LiCaGd (PBE-GGA)

Data for a geometry-optimized LiCaGd structure.

Values from the calculation:
Polymorph energy (0 for the lowest one) in eV/f.u.: 0.124
Formation energy from the elements in eV/atom: 0.15
Space group: P3m1

Cell lengths 3.612, 3.612, 8.587 Å; angles 90.00, 90.00, 120.00 degrees
Site moments in Bohr magnetons follow the coordinates.
Fractional positions:
Li (0.667, 0.333, 0.327)  0.00
Ca (0.333, 0.667, 0.658)  0.01
Gd (0.000, 0.000, 0.015)  7.23


(5)
## Co (PBE-GGA)

Data for a geometry-optimized Co structure.

Values from the calculation:
Polymorph energy (0 for the lowest one) in eV/f.u.: 0.125
Formation energy from the elements in eV/atom: 0.13
Space group: P4_2/mnm

Cell lengths 8.366, 8.366, 4.558 Å; angles 90.00, 90.00, 90.00 degrees
Site moments in Bohr magnetons follow the coordinates.
Fractional positions:
Co (0.138, 0.477, 0.000)  1.68
Co (0.362, 0.977, 0.500)  1.68
Co (0.094, 0.906, 0.500)  1.76
Co (0.308, 0.692, 0.751)  1.72
Co (0.692, 0.308, 0.751)  1.72
Co (0.808, 0.808, 0.749)  1.72
Co (0.692, 0.308, 0.249)  1.72
Co (0.255, 0.450, 0.500)  1.70
Co (0.638, 0.023, 0.500)  1.68
Co (0.477, 0.138, 0.000)  1.68
Co (0.755, 0.050, 0.000)  1.70
Co (0.594, 0.594, 0.000)  1.76
Co (0.950, 0.245, 0.000)  1.70
Co (0.906, 0.094, 0.500)  1.76
Co (0.050, 0.755, 0.000)  1.70
Co (0.406, 0.406, 0.000)  1.76
Co (0.808, 0.808, 0.251)  1.72
Co (0.977, 0.362, 0.500)  1.68
Co (0.192, 0.192, 0.749)  1.72
Co (0.862, 0.523, 0.000)  1.68
Co (0.523, 0.862, 0.000)  1.68
Co (0.245, 0.950, 0.000)  1.70
Co (0.192, 0.192, 0.251)  1.72
Co (0.023, 0.638, 0.500)  1.68
Co (0.308, 0.692, 0.249)  1.72
Co (0.745, 0.550, 0.500)  1.70
Co (0.550, 0.745, 0.500)  1.70
Co (0.450, 0.255, 0.500)  1.70


(6)
## TeHPtN2 (PBE-GGA)

Data for a geometry-optimized TeHPtN2 structure.

Values from the calculation:
Polymorph energy (0 for the lowest one) in eV/f.u.: 0.000
Space group: P4/mmm

Cell lengths 3.689, 3.689, 7.915 Å; angles 90.00, 90.00, 90.00 degrees
Fractional positions:
N (0.000, 0.500, 0.000)
Te (0.000, 0.000, 0.500)
N (0.500, 0.000, 0.000)
H (0.500, 0.500, 0.500)
Pt (0.000, 0.000, 0.000)